Material: CoSn3W
Method: DFT, SCAN
State: PBEsol geometry

total DFT energy (no corrections)	-37.879	eV per atom
DFT formation energy	1.07	eV/atom

Unit cell a=5.174 b=5.174 c=5.174 alpha=90.00 beta=90.00 gamma=90.00
Atoms (fractional coordinates):
Co 0.500 0.500 0.500
Sn 0.000 0.500 0.000
Sn 0.000 0.000 0.500
Sn 0.500 0.000 0.000
W 0.000 0.000 0.000